[1]
The following is a GGA-PBE calculation of a relaxed P2IrWS crystal, from Alexandria via LeMat-Bulk.

a b c (Å): 4.680 4.680 4.494
angles (deg): 90.00 90.00 90.00
Sites, in units of the cell vectors:
S: 0.000 0.000 0.500
P: 0.000 0.500 0.000
Ir: 0.500 0.500 0.500
W: 0.000 0.000 0.000
P: 0.500 0.000 0.000

Calculated values
Its magnetization is 0.00 μB/cell. The value obtained for the volume is 98 Å³ per cell. The value obtained for the raw formation energy is 1.1282 eV per atom. The density of states at the Fermi level is 0.99 states/eV/atom.

---

[2]
The following is a GGA-PBE calculation of a relaxed Cs3Ce3PaTe8 crystal, from Alexandria via LeMat-Bulk.

a b c (Å): 9.283 9.288 10.547
angles (deg): 116.14 90.00 119.98
Each line ends with the local moment (μB).
Sites, in units of the cell vectors:
Te: 0.775 0.551 0.311  0.00
Ce: 0.500 0.000 0.500  -0.99
Cs: 0.000 0.500 0.000  0.00
Ce: 0.500 0.500 0.500  0.99
Cs: 0.000 0.000 0.000  0.00
Te: 0.731 0.463 0.694  -0.01
Te: 0.260 0.035 0.311  0.01
Cs: 0.500 0.500 0.000  0.00
Te: 0.225 0.965 0.689  0.01
Te: 0.740 0.965 0.689  0.01
Pa: 0.000 0.000 0.500  -1.01
Te: 0.269 0.537 0.306  -0.01
Te: 0.225 0.449 0.689  0.00
Ce: 0.000 0.500 0.500  0.99
Te: 0.775 0.035 0.311  0.01

Calculated values
Its magnetization is 0.07 μB/cell. The value obtained for the volume is 678 Å³ per cell. The value obtained for the raw formation energy is -1.2423 eV per atom. The density of states at the Fermi level is 1.59 states/eV/atom.